## FeNi2Pt (SCAN)

Data for FeNi2Pt at its PBEsol-relaxed geometry.

Values from the calculation:
ΔH_f (0 K)	-1.095	eV/f.u.
space group	I-4m2
crystal system	tetragonal
Fermi-level density of states	3.49	states/eV per cell

Cell lengths 4.434, 4.434, 4.434 Å; angles 131.74, 131.74, 70.64 degrees
Fractional coordinates of all 4 atoms:
Fe  0.000  0.000  0.000
Ni  0.500  0.500  0.000
Ni  0.750  0.250  0.500
Pt  0.250  0.750  0.500

---

## Fe2NiPt (SCAN)

Data for Fe2NiPt at its PBEsol-relaxed geometry.

Values from the calculation:
ΔH_f (0 K)	-1.225	eV/f.u.
space group	Pmmm
crystal system	orthorhombic
Fermi-level density of states	2.33	states/eV per cell

Cell lengths 2.608, 3.609, 5.155 Å; angles 90.00, 90.00, 90.00 degrees
Fractional coordinates of all 4 atoms:
Fe  0.000  0.000  0.233
Fe  0.000  0.000  0.767
Ni  0.500  0.500  0.000
Pt  0.500  0.500  0.500

---

## Fe2NiPt (SCAN)

Data for Fe2NiPt at its PBEsol-relaxed geometry.

Values from the calculation:
ΔH_f (0 K)	-1.191	eV/f.u.
space group	Cmmm
crystal system	orthorhombic
Fermi-level density of states	2.49	states/eV per cell

Cell lengths 4.461, 4.461, 2.605 Å; angles 90.00, 90.00, 109.96 degrees
Fractional coordinates of all 4 atoms:
Fe  0.000  0.500  0.000
Fe  0.500  0.000  0.000
Ni  0.000  0.000  0.500
Pt  0.500  0.500  0.500

---

## FeNi2Pt (SCAN)

Data for FeNi2Pt at its PBEsol-relaxed geometry.

Values from the calculation:
ΔH_f (0 K)	-0.884	eV/f.u.
space group	Pmm2
crystal system	orthorhombic
Fermi-level density of states	3.12	states/eV per cell

Cell lengths 2.600, 3.544, 5.164 Å; angles 90.00, 90.00, 90.00 degrees
Fractional coordinates of all 4 atoms:
Fe  0.000  0.000  0.000
Ni  0.000  0.000  0.464
Ni  0.500  0.500  0.234
Pt  0.500  0.500  0.730